Entry from Alexandria via LeMat-Bulk: crystalline Tb4Cl at its relaxed geometry (PBE-GGA).

Output
- DOS at the Fermi energy (states/eV/atom) = 1.0097
- volume (Å³/cell) = 149.1
- formation energy from raw total energies (eV per atom) = -0.459
- total energy (eV per atom) = -4.533

abc: 5.3026 5.3026 5.3026
angles: 90.00 90.00 90.00
Sites, in units of the cell vectors:
Tb: 0.0000 0.0000 0.0000
Tb: 0.5000 0.0000 0.5000
Tb: 0.0000 0.5000 0.5000
Tb: 0.5000 0.5000 0.0000
Cl: 0.5000 0.5000 0.5000

Entry from Alexandria via LeMat-Bulk: crystalline TbCl3 at its relaxed geometry (PBE-GGA).

Output
- DOS at the Fermi energy (states/eV/atom) = 0.0000
- volume (Å³/cell) = 198.9
- formation energy from raw total energies (eV per atom) = -2.242
- total energy (eV per atom) = -4.784

abc: 7.5961 7.5963 3.9797
angles: 90.00 90.00 120.00
Sites, in units of the cell vectors:
Cl: 0.6983 0.0947 0.2500
Cl: 0.9053 0.6036 0.2500
Cl: 0.3964 0.3017 0.2500
Cl: 0.3017 0.9053 0.7500
Cl: 0.0947 0.3964 0.7500
Cl: 0.6036 0.6983 0.7500
Tb: 0.3333 0.6667 0.2500
Tb: 0.6667 0.3333 0.7500

Entry from Alexandria via LeMat-Bulk: crystalline Tb2ThCl at its relaxed geometry (PBE-GGA).

Output
- DOS at the Fermi energy (states/eV/atom) = 0.7705
- volume (Å³/cell) = 112.6
- formation energy from raw total energies (eV per atom) = -0.685
- total energy (eV per atom) = -5.317

abc: 3.6433 3.6433 10.0226
angles: 79.53 79.53 60.00
Sites, in units of the cell vectors:
Tb: 0.7402 0.7402 0.7795
Tb: 0.2598 0.2598 0.2205
Th: 0.5000 0.5000 0.5000
Cl: 0.0000 0.0000 0.0000

Entry from Alexandria via LeMat-Bulk: crystalline TbTiCl at its relaxed geometry (PBE-GGA).

Output
- DOS at the Fermi energy (states/eV/atom) = 0.6327
- volume (Å³/cell) = 153.6
- formation energy from raw total energies (eV per atom) = -0.751
- total energy (eV per atom) = -5.541

abc: 3.4673 3.4690 15.0823
angles: 108.66 82.37 116.63
Each line ends with the local moment (μB).
Sites, in units of the cell vectors:
Ti: 0.1938 0.4025 0.5655  0.56
Ti: 0.8062 0.5975 0.4345  0.56
Tb: 0.1609 0.9900 0.2630  0.27
Tb: 0.8391 0.0100 0.7370  0.27
Cl: 0.5029 0.5384 0.8671  0.01
Cl: 0.4971 0.4616 0.1329  0.01

Entry from Alexandria via LeMat-Bulk: crystalline TbTl3Cl6 at its relaxed geometry (PBE-GGA).

Output
- DOS at the Fermi energy (states/eV/atom) = 0.0000
- volume (Å³/cell) = 674.5
- formation energy from raw total energies (eV per atom) = -1.558
- total energy (eV per atom) = -3.839

abc: 7.5073 8.2285 10.9305
angles: 90.00 87.35 90.00
Sites, in units of the cell vectors:
Tb: 0.5000 0.5000 0.5000
Tb: 0.0000 0.0000 0.0000
Tl: 0.5247 0.9317 0.7652
Tl: 0.5000 0.5000 0.0000
Tl: 0.4753 0.0683 0.2348
Tl: 0.0247 0.5683 0.2652
Tl: 0.0000 0.0000 0.5000
Tl: 0.9753 0.4317 0.7348
Cl: 0.7046 0.1667 0.9574
Cl: 0.6603 0.2311 0.5774
Cl: 0.6267 0.4377 0.2726
Cl: 0.3733 0.5623 0.7274
Cl: 0.3397 0.7689 0.4226
Cl: 0.2954 0.8333 0.0426
Cl: 0.2046 0.3333 0.4574
Cl: 0.1603 0.2689 0.0774
Cl: 0.1267 0.0623 0.7726
Cl: 0.8733 0.9377 0.2274
Cl: 0.8397 0.7311 0.9226
Cl: 0.7954 0.6667 0.5426

Entry from Alexandria via LeMat-Bulk: crystalline TbTl5Cl8 at its relaxed geometry (PBE-GGA).

Output
- DOS at the Fermi energy (states/eV/atom) = 0.0000
- volume (Å³/cell) = 508.0
- formation energy from raw total energies (eV per atom) = -1.385
- total energy (eV per atom) = -3.616

abc: 8.3975 8.3970 9.0475
angles: 107.19 109.51 108.77
Sites, in units of the cell vectors:
Tb: 0.3494 0.8494 0.5000
Tl: 0.8989 0.3282 0.9937
Tl: 0.6782 0.5605 0.5233
Tl: 0.3344 0.9051 0.0062
Tl: 0.5719 0.5719 0.0000
Tl: 0.0372 0.1549 0.4767
Cl: 0.0826 0.7998 0.2025
Cl: 0.2310 0.4790 0.3716
Cl: 0.5907 0.8611 0.3643
Cl: 0.1535 0.4469 0.8261
Cl: 0.6208 0.3274 0.1739
Cl: 0.1074 0.8594 0.6284
Cl: 0.5972 0.8800 0.7975
Cl: 0.4968 0.2265 0.6358

Entry from Alexandria via LeMat-Bulk: crystalline TbTlCl2 at its relaxed geometry (PBE-GGA).

Output
- DOS at the Fermi energy (states/eV/atom) = 0.6478
- volume (Å³/cell) = 116.7
- formation energy from raw total energies (eV per atom) = -1.350
- total energy (eV per atom) = -4.022

abc: 3.5973 3.5973 10.6194
angles: 80.25 80.25 60.00
Sites, in units of the cell vectors:
Tl: 0.0000 0.0000 0.0000
Tb: 0.5000 0.5000 0.5000
Cl: 0.1081 0.1081 0.6757
Cl: 0.8919 0.8919 0.3243

Entry from Alexandria via LeMat-Bulk: crystalline Tb2TlCl8 at its relaxed geometry (PBE-GGA).

Output
- DOS at the Fermi energy (states/eV/atom) = 0.4127
- volume (Å³/cell) = 331.1
- formation energy from raw total energies (eV per atom) = -1.798
- total energy (eV per atom) = -4.198

abc: 7.1394 6.9802 6.9802
angles: 76.35 80.92 80.92
Sites, in units of the cell vectors:
Tb: 0.4516 0.3174 0.3174
Tb: 0.5484 0.6826 0.6826
Tl: 0.0000 0.0000 0.0000
Cl: 0.3356 0.6698 0.0502
Cl: 0.6644 0.9498 0.3302
Cl: 0.1504 0.2105 0.2105
Cl: 0.8496 0.7895 0.7895
Cl: 0.3356 0.0502 0.6698
Cl: 0.6644 0.3302 0.9498
Cl: 0.7372 0.4423 0.4423
Cl: 0.2628 0.5577 0.5577

Entry from Alexandria via LeMat-Bulk: crystalline TbTlZnCl6 at its relaxed geometry (PBE-GGA).

Output
- DOS at the Fermi energy (states/eV/atom) = 0.0000
- volume (Å³/cell) = 559.2
- formation energy from raw total energies (eV per atom) = -1.610
- total energy (eV per atom) = -3.760

abc: 6.7559 6.7559 14.1483
angles: 90.00 90.00 120.00
Sites, in units of the cell vectors:
Tb: 0.6667 0.3333 0.2500
Tb: 0.3333 0.6667 0.7500
Tl: 0.0000 0.0000 0.0000
Tl: 0.0000 0.0000 0.5000
Zn: 0.3333 0.6667 0.2500
Zn: 0.6667 0.3333 0.7500
Cl: 0.6173 0.6356 0.1462
Cl: 0.0184 0.3827 0.1462
Cl: 0.3827 0.0184 0.6462
Cl: 0.9816 0.6173 0.8538
Cl: 0.3644 0.3827 0.3538
Cl: 0.0184 0.6356 0.3538
Cl: 0.6356 0.0184 0.8538
Cl: 0.6173 0.9816 0.3538
Cl: 0.9816 0.3644 0.6462
Cl: 0.3644 0.9816 0.1462
Cl: 0.6356 0.6173 0.6462
Cl: 0.3827 0.3644 0.8538

Entry from Alexandria via LeMat-Bulk: crystalline TbTmCl6 at its relaxed geometry (PBE-GGA).

Output
- DOS at the Fermi energy (states/eV/atom) = 0.0000
- volume (Å³/cell) = 237.5
- formation energy from raw total energies (eV per atom) = -2.250
- total energy (eV per atom) = -4.773

abc: 6.7193 6.7199 7.2069
angles: 62.21 62.20 60.00
Sites, in units of the cell vectors:
Tb: 0.0000 0.0000 0.0000
Tm: 0.5000 0.5000 0.5000
Cl: 0.1094 0.3964 0.7474
Cl: 0.7468 0.1095 0.7475
Cl: 0.6035 0.2534 0.2525
Cl: 0.2532 0.8905 0.2525
Cl: 0.8906 0.6036 0.2526
Cl: 0.3965 0.7466 0.7475

Entry from Alexandria via LeMat-Bulk: crystalline Tb3TmCl at its relaxed geometry (PBE-GGA).

Output
- DOS at the Fermi energy (states/eV/atom) = 1.1006
- volume (Å³/cell) = 147.2
- formation energy from raw total energies (eV per atom) = -0.448
- total energy (eV per atom) = -4.489

abc: 5.2806 5.2806 5.2806
angles: 90.00 90.00 90.00
Sites, in units of the cell vectors:
Tm: 0.5000 0.5000 0.5000
Tb: 0.0000 0.5000 0.0000
Tb: 0.0000 0.0000 0.5000
Tb: 0.5000 0.0000 0.0000
Cl: 0.0000 0.0000 0.0000

Entry from Alexandria via LeMat-Bulk: crystalline TbUCl at its relaxed geometry (PBE-GGA).

Output
- DOS at the Fermi energy (states/eV/atom) = 1.6938
- volume (Å³/cell) = 165.5
- formation energy from raw total energies (eV per atom) = -0.785
- total energy (eV per atom) = -6.707

abc: 3.7220 3.4908 15.2565
angles: 99.13 93.13 57.81
Each line ends with the local moment (μB).
Sites, in units of the cell vectors:
U: 0.1439 0.6090 0.2748  0.05
U: 0.6659 0.5143 0.1603  -0.03
Tb: 0.4507 0.0844 0.4669  0.06
Tb: 0.3620 0.0326 0.9656  -0.01
Cl: 0.7806 0.4797 0.5888  0.00
Cl: 0.7347 0.2325 0.8433  0.00

Entry from Alexandria via LeMat-Bulk: crystalline TbVCl2 at its relaxed geometry (PBE-GGA).

Output
- DOS at the Fermi energy (states/eV/atom) = 1.0350
- volume (Å³/cell) = 81.2
- formation energy from raw total energies (eV per atom) = -0.477
- total energy (eV per atom) = -4.838

abc: 3.2595 3.2595 9.0265
angles: 79.60 79.60 60.00
Each line ends with the local moment (μB).
Sites, in units of the cell vectors:
Cl: 0.1066 0.1066 0.6801  0.00
Cl: 0.8934 0.8934 0.3199  0.00
Tb: 0.0000 0.0000 0.0000  -0.03
V: 0.5000 0.5000 0.5000  0.09